## LaPd3Au6 (PBE)

Data for a relaxed structure of LaPd3Au6.

Values from the calculation:
Magnetization, μB/cell: 0.0
N(E_F), states/eV/f.u.: 3.12
DFT total energy, eV per cell: -43.332

Unit cell a=6.8370 b=9.3919 c=5.5521 alpha=87.51 beta=107.66 gamma=142.51
Sites, in units of the cell vectors:
La1 0.7659 0.9283 0.7216
Pd1 0.6536 0.3082 0.9814
Pd2 0.3716 0.6490 0.0634
Pd3 0.1092 0.0234 0.4180
Au1 0.4507 0.4637 0.7522
Au2 0.2106 0.8150 0.2573
Au3 0.8772 0.1703 0.2223
Au4 0.1965 0.8214 0.7572
Au5 0.8163 0.3461 0.5446
Au6 0.5484 0.4747 0.2819